Rb3Er2BiTe6: relaxed, PBE.

abc: 7.881 7.881 8.938
angles: 98.45 98.45 120.00
Sites, in units of the cell vectors:
Rb 0.000 0.000 0.000
Rb 0.336 0.664 0.000
Rb 0.664 0.336 0.000
Er 0.167 0.833 0.500
Er 0.833 0.167 0.500
Bi 0.500 0.500 0.500
Te 0.093 0.434 0.301
Te 0.225 0.225 0.698
Te 0.434 0.093 0.301
Te 0.566 0.907 0.699
Te 0.775 0.775 0.302
Te 0.907 0.566 0.699

Energy relative to the elements, uncorrected = -1.12 eV per atom
Total energy = -4.0121 eV/atom